First-principles (GGA-PBE) data for a relaxed LiMgO2F crystal, as listed in Alexandria via LeMat-Bulk.

Values from the calculation:
Calculated density (g/cm³): 2.79
Space-group type: P4/mmm, No. 123
ΔE_f (raw) (eV per atom): -1.294
V (Å³ per atom): 9.78

abc: 3.6345 3.6345 3.7030
angles: 90.00 90.00 90.00
With the nearest neighbours (Å) after each atom.
Fractional coordinates of all 5 atoms:
Li: 0.0000 0.0000 0.0000  4 O 1.82, 2 F 1.85
Mg: 0.5000 0.5000 0.5000  4 F 2.57, 8 O 2.59
O: 0.0000 0.5000 0.0000  2 Li 1.82
O: 0.5000 0.0000 0.0000  2 Li 1.82
F: 0.0000 0.0000 0.5000  2 Li 1.85

First-principles (GGA-PBE) data for a relaxed LiMgOF2 crystal, as listed in Alexandria via LeMat-Bulk.

Values from the calculation:
Calculated density (g/cm³): 2.28
Space-group type: P4/mmm, No. 123
ΔE_f (raw) (eV per atom): -2.269
V (Å³ per atom): 12.39

abc: 3.9200 3.9200 4.0323
angles: 90.00 90.00 90.00
With the nearest neighbours (Å) after each atom.
Fractional coordinates of all 5 atoms:
Li: 0.0000 0.0000 0.0000  4 O 2.77, 8 F 2.81
Mg: 0.5000 0.5000 0.5000  4 F 1.96, 2 O 2.02
O: 0.5000 0.5000 0.0000  2 Mg 2.02
F: 0.0000 0.5000 0.5000  2 Mg 1.96
F: 0.5000 0.0000 0.5000  2 Mg 1.96

First-principles (GGA-PBE) data for a relaxed LiMgOF2 crystal, as listed in Alexandria via LeMat-Bulk.

Values from the calculation:
Calculated density (g/cm³): 2.86
Space-group type: P4/mmm, No. 123
ΔE_f (raw) (eV per atom): -1.976
V (Å³ per atom): 9.89

abc: 3.5458 3.5458 3.9331
angles: 90.00 90.00 90.00
With the nearest neighbours (Å) after each atom.
Fractional coordinates of all 5 atoms:
Li: 0.0000 0.0000 0.0000  4 F 1.77, 2 O 1.97
Mg: 0.5000 0.5000 0.5000  4 O 2.51, 8 F 2.65
O: 0.0000 0.0000 0.5000  2 Li 1.97
F: 0.0000 0.5000 0.0000  2 Li 1.77
F: 0.5000 0.0000 0.0000  2 Li 1.77